1.
Here is a relaxed Cs2Sn2As2Au crystal from Alexandria. Energies are from PBE.

The structure in CIF format:
```
data_Cs2Sn2As2Au
_chemical_formula_sum 'Cs2 Sn2 As2 Au1'
_symmetry_space_group_name_H-M 'P -1'
_symmetry_Int_Tables_number 2
_cell_length_a 4.832
_cell_length_b 7.936
_cell_length_c 7.999
_cell_angle_alpha 66.69
_cell_angle_beta 72.55
_cell_angle_gamma 72.37
loop_
_symmetry_equiv_pos_as_xyz
'x,y,z'
'-x,-y,-z'
loop_
_atom_site_label
_atom_site_type_symbol
_atom_site_fract_x
_atom_site_fract_y
_atom_site_fract_z
Cs1 Cs 0.063 0.217 0.158
Sn1 Sn 0.298 0.320 0.583
As1 As 0.311 0.618 0.259
Au1 Au 0.500 0.000 0.500
```

## Properties
mass density = 5.37 g cm⁻³
total DFT energy (no corrections) = -3.535 eV per atom
DFT formation energy = -351 meV/atom
crystal system = triclinic

2.
Here is a relaxed CsSnAs2Au4 crystal from Alexandria. Energies are from PBE.

The structure in CIF format:
```
data_CsSnAs2Au4
_chemical_formula_sum 'Cs1 Sn1 As2 Au4'
_symmetry_space_group_name_H-M 'P 4/m m m'
_symmetry_Int_Tables_number 123
_symmetry_space_group_name_Hall '-P 4 2'
_cell_length_a 4.606
_cell_length_b 4.606
_cell_length_c 10.168
_cell_angle_alpha 90.00
_cell_angle_beta 90.00
_cell_angle_gamma 90.00
loop_
_atom_site_label
_atom_site_type_symbol
_atom_site_fract_x
_atom_site_fract_y
_atom_site_fract_z
Cs1 Cs 0.000 0.000 0.000
Sn1 Sn 0.000 0.000 0.500
As1 As 0.500 0.500 0.214
Au1 Au 0.000 0.500 0.325
```

## Properties
mass density = 9.16 g cm⁻³
total DFT energy (no corrections) = -3.585 eV per atom
DFT formation energy = -177 meV/atom
crystal system = tetragonal

3.
Here is a relaxed CsTaAsAu2 crystal from Alexandria. Energies are from PBE.

The structure in CIF format:
```
data_CsTaAsAu2
_chemical_formula_sum 'Cs1 Ta1 As1 Au2'
_symmetry_space_group_name_H-M 'P 4/m m m'
_symmetry_Int_Tables_number 123
_symmetry_space_group_name_Hall '-P 4 2'
_cell_length_a 5.136
_cell_length_b 5.136
_cell_length_c 6.279
_cell_angle_alpha 90.00
_cell_angle_beta 90.00
_cell_angle_gamma 90.00
loop_
_atom_site_label
_atom_site_type_symbol
_atom_site_fract_x
_atom_site_fract_y
_atom_site_fract_z
Cs1 Cs 0.000 0.000 0.000
Ta1 Ta 0.000 0.000 0.500
As1 As 0.500 0.500 0.000
Au1 Au 0.000 0.500 0.500
```

## Properties
mass density = 7.85 g cm⁻³
total DFT energy (no corrections) = -3.502 eV per atom
DFT formation energy = 1280 meV/atom
crystal system = tetragonal